Density functional theory data (SCAN) for a crystal of KYSbBr2 relaxed with PBEsol. Values from VASP.

Properties
uncorrected formation energy: 0.137 eV per formula unit
size of the total moment: 1.00 Bohr magnetons per cell

The structure in Quantum ESPRESSO input format:
```
&SYSTEM
  ibrav = 0, nat = 5, ntyp = 4
/
ATOMIC_SPECIES
Sb 121.76 Sb.upf
Br 79.90 Br.upf
K 39.10 K.upf
Y 88.91 Y.upf
ATOMIC_POSITIONS angstrom
Sb 2.681 2.681 3.247
Br 0.000 2.681 0.000
Br 2.681 0.000 0.000
K 0.000 0.000 0.000
Y 0.000 0.000 3.247
CELL_PARAMETERS angstrom
5.362 0.000 0.000
0.000 5.362 0.000
0.000 0.000 6.493
```

***

Density functional theory data (SCAN) for a crystal of TaP2Au relaxed with PBEsol. Values from VASP.

Properties
ΔE_f: 0.16 eV/atom
offset from the most stable computed form: 22.4 kJ per mole of atoms
size of the total moment: 0.00 Bohr magnetons per cell

The structure in Quantum ESPRESSO input format:
```
&SYSTEM
  ibrav = 0, nat = 4, ntyp = 3
/
ATOMIC_SPECIES
P 30.97 P.upf
Ta 180.95 Ta.upf
Au 196.97 Au.upf
ATOMIC_POSITIONS angstrom
P 3.203 -1.292 5.078
P 1.270 -0.512 2.013
Ta 1.598 -2.478 3.547
Au -0.638 -1.576 0.001
CELL_PARAMETERS angstrom
-2.374 -0.872 1.276
1.098 -2.280 -1.273
4.473 -1.805 7.091
```

***

Density functional theory data (SCAN) for a crystal of CuO2F relaxed with PBEsol. Values from VASP.

Properties
uncorrected formation energy: -2.955 eV per formula unit
size of the total moment: 0.00 Bohr magnetons per cell

The structure in Quantum ESPRESSO input format:
```
&SYSTEM
  ibrav = 0, nat = 8, ntyp = 3
/
ATOMIC_SPECIES
F 19.00 F.upf
O 16.00 O.upf
Cu 63.55 Cu.upf
ATOMIC_POSITIONS angstrom
F 0.000 2.931 0.088
F 1.549 0.686 5.715
O 0.000 0.012 2.209
O 1.549 2.131 2.288
O 0.000 4.377 3.514
O 1.549 2.257 3.594
Cu 1.549 3.704 1.205
Cu 0.000 1.458 4.598
CELL_PARAMETERS angstrom
3.099 0.000 0.000
0.000 4.491 0.000
0.000 0.000 5.803
```